Density functional theory data (PBE) for CrH after structural relaxation.

The value obtained for the total energy is -6.485 eV/atom.

It has space group Fm-3m (No. 225), with a = 3.778 Å, b = 3.778 Å, c = 3.778 Å, α = 90.00°, β = 90.00° and γ = 90.00°. The inequivalent atoms are Cr at (0.000, 0.000, 0.000) and H at (0.000, 0.000, 0.500).

---

Density functional theory data (PBE) for Be2Tc2Sn after structural relaxation.

The distance to the lowest polymorph of the same formula is 366.5 meV/atom. The energy of formation comes out at 20 kJ/mol of atoms.

It has space group P4/mbm (No. 127), with a = 6.755 Å, b = 6.755 Å, c = 3.096 Å, α = 90.00°, β = 90.00° and γ = 90.00°. The inequivalent atoms are Be at (0.152, 0.348, 0.000), Tc at (0.133, 0.633, 0.500) and Sn at (0.000, 0.000, 0.500).

---

Density functional theory data (PBE) for TmNbV4 after structural relaxation.

The energy of formation comes out at 18 kJ/mol of atoms.

It has space group F-43m (No. 216), with a = 7.331 Å, b = 7.331 Å, c = 7.331 Å, α = 90.00°, β = 90.00° and γ = 90.00°. The inequivalent atoms are Tm at (0.000, 0.000, 0.000), Nb at (0.250, 0.250, 0.750) and V at (0.125, 0.125, 0.375).

---

Density functional theory data (PBE) for RbBSe3 after structural relaxation.

For the energy relative to the elements, uncorrected, the calculation gives -2.782 eV per formula unit.

It has space group P2_1/c (No. 14), with a = 7.496 Å, b = 12.694 Å, c = 6.280 Å, α = 90.00°, β = 104.60° and γ = 90.00°. The inequivalent atoms are Rb at (0.242, 0.078, 0.290), B at (0.206, 0.732, 0.191), Se at (0.048, 0.697, 0.880), Se at (0.304, 0.592, 0.341) and Se at (0.440, 0.679, 0.683).

---

Density functional theory data (PBE) for Nd5DyEr2Tm after structural relaxation.

The energy of formation comes out at 14 kJ/mol of atoms.

It has space group Cmc2_1 (No. 36), with a = 5.623 Å, b = 20.397 Å, c = 10.706 Å, α = 90.00°, β = 90.00° and γ = 90.00°. The inequivalent atoms are Nd at (0.000, 0.016, 0.000), Nd at (0.000, 0.116, 0.276), Nd at (0.000, 0.202, 0.963), Nd at (0.000, 0.221, 0.569), Nd at (0.000, 0.484, 0.272), Dy at (0.000, 0.302, 0.267), Er at (0.000, 0.386, 0.562), Er at (0.000, 0.388, 0.996) and Tm at (0.000, 0.093, 0.721).

---

Density functional theory data (PBE) for Pm3UP4 after structural relaxation.

The energy of formation comes out at -136 kJ/mol of atoms.

It has space group Cmmm (No. 65), with a = 8.183 Å, b = 11.510 Å, c = 4.063 Å, α = 90.00°, β = 90.00° and γ = 90.00°. The inequivalent atoms are Pm at (0.000, 0.000, 0.000), Pm at (0.250, 0.250, 0.500), U at (0.000, 0.500, 0.000), P at (0.000, 0.258, 0.000) and P at (0.239, 0.500, 0.500).

---

Short version: total moment = 0.00 0.00 0.00 0.00 0.00 2.07 μB per formula unit, in the order given.
Short version: mass density = 6.5 7.8 7.8 3.8 7.5 6.9 Mg/m³, in the order given.